No. 1
PBE HoSiB4, optimized geometry; total magnetization = 0.000 μB per atom; excess energy over the best structure of this formula in the dataset = 0.000 eV/atom; electronic total energy = -37.2 eV for the cell shown
1.0
-0.6736 -4.5543 1.8943
-0.0911 0.5271 4.9495
-2.4005 1.2631 -4.1744
B Ho Si
4 1 1
direct
0.4122 0.7346 0.6777
0.9431 0.2654 0.6777
0.0569 0.7346 0.3223
0.5878 0.2654 0.3223
0.0000 0.0000 0.0000
0.5000 0.5000 0.0000


No. 2
PBE Sm4Ho4B3, optimized geometry; total magnetization = 0.005 μB per atom; electronic total energy = -56.0 eV for the cell shown
1.0
3.8236 0.0000 0.0000
-0.4799 4.6159 0.0000
-1.1033 -1.1959 15.5911
Ho B Sm
4 3 4
direct
0.9778 0.7760 0.8340
0.4661 0.2229 0.7018
0.5339 0.7771 0.2982
0.0222 0.2240 0.1660
0.5437 0.1340 0.5368
0.0000 0.0000 0.0000
0.4563 0.8660 0.4632
0.4779 0.7265 0.0726
0.9426 0.7061 0.5759
0.5221 0.2735 0.9274
0.0574 0.2939 0.4241


No. 3
PBE SmHoB, optimized geometry; total magnetization = 0.008 μB per atom; excess energy over the best structure of this formula in the dataset = 0.000 eV/atom; electronic total energy = -15.6 eV for the cell shown
1.0
-4.0844 1.1848 1.6556
-3.6888 -0.1813 -2.6808
-3.1853 -3.1893 0.7141
Ho B Sm
1 1 1
direct
0.2500 0.2500 0.2500
0.0000 0.0000 0.0000
0.7500 0.7500 0.7500


No. 4
PBE HoSnB, optimized geometry; total magnetization = 0.000 μB per atom; excess energy over the best structure of this formula in the dataset = 0.000 eV/atom; electronic total energy = -14.8 eV for the cell shown
1.0
0.0000 3.0867 3.0867
3.0867 0.0000 3.0867
3.0867 3.0867 0.0000
Ho Sn B
1 1 1
direct
0.2500 0.2500 0.2500
0.7500 0.7500 0.7500
0.0000 0.0000 0.0000


No. 5
PBE HoSnB, optimized geometry; total magnetization = 0.001 μB per atom; excess energy over the best structure of this formula in the dataset = 0.810 eV/atom; electronic total energy = -12.4 eV for the cell shown
1.0
2.6499 -3.7342 0.8125
0.4420 -1.6402 4.3291
-1.9766 -4.0443 1.1673
Ho Sn B
1 1 1
direct
0.7500 0.7500 0.7500
0.0000 0.0000 0.0000
0.2500 0.2500 0.2500


No. 6
PBE HoSnB4, optimized geometry; total magnetization = 0.000 μB per atom; excess energy over the best structure of this formula in the dataset = 0.094 eV/atom; electronic total energy = -35.2 eV for the cell shown
1.0
-0.3533 2.6557 1.7947
-2.5794 -1.3930 -1.3435
-0.9690 -4.6307 6.6615
B Sn Ho
4 1 1
direct
0.3333 0.6667 0.2312
0.3333 0.6667 0.7688
0.6667 0.3333 0.7688
0.6667 0.3333 0.2312
0.0000 0.0000 0.5000
0.0000 0.0000 0.0000


No. 7
PBE HoSnB4, optimized geometry; total magnetization = 0.000 μB per atom; excess energy over the best structure of this formula in the dataset = 0.000 eV/atom; electronic total energy = -35.7 eV for the cell shown
1.0
1.2624 -4.7708 1.5397
1.9408 0.4931 4.7661
-4.2739 0.5861 -2.8488
B Ho Sn
4 1 1
direct
0.5882 0.2599 0.3283
0.4118 0.7401 0.6717
0.9315 0.2599 0.6717
0.0685 0.7401 0.3283
0.0000 0.0000 0.0000
0.5000 0.5000 0.0000


No. 8
PBE Ho4TlSnB2, optimized geometry; total magnetization = 0.002 μB per atom; electronic total energy = -39.5 eV for the cell shown
1.0
3.6292 0.0000 0.0000
-1.8146 3.1430 0.0000
0.0000 0.0000 16.6258
B Sn Ho Tl
2 1 4 1
direct
0.0000 0.0000 0.7527
0.0000 0.0000 0.2473
0.6667 0.3333 0.0000
0.3333 0.6667 0.8450
0.3333 0.6667 0.1550
0.6667 0.3333 0.6607
0.6667 0.3333 0.3393
0.3333 0.6667 0.5000


No. 9
PBE HoTm3Sn2B2, optimized geometry; total magnetization = 0.004 μB per atom; electronic total energy = -41.5 eV for the cell shown
1.0
3.6102 0.0000 0.0000
-1.8051 3.1265 0.0000
0.0000 0.0000 16.2929
B Tm Ho Sn
2 3 1 2
direct
0.6667 0.3333 0.5003
0.6667 0.3333 0.9988
0.0000 0.0000 0.4085
0.3333 0.6667 0.9067
0.3333 0.6667 0.5920
0.0000 0.0000 0.0927
0.0000 0.0000 0.7495
0.3333 0.6667 0.2515


No. 10
PBE Ho3TmSn2B2, optimized geometry; total magnetization = 0.004 μB per atom; electronic total energy = -41.7 eV for the cell shown
1.0
3.6263 0.0000 0.0000
-1.8131 3.1404 0.0000
0.0000 0.0000 16.3878
Ho B Sn Tm
3 2 2 1
direct
0.0000 0.0000 0.5935
0.6667 0.3333 0.4070
0.6667 0.3333 0.0918
0.3333 0.6667 0.9988
0.3333 0.6667 0.5002
0.6667 0.3333 0.7514
0.0000 0.0000 0.2496
0.0000 0.0000 0.9076


No. 11
PBE HoTaB, optimized geometry; total magnetization = 0.897 μB per atom; excess energy over the best structure of this formula in the dataset = 1.710 eV/atom; electronic total energy = -17.1 eV for the cell shown
1.0
0.0000 3.1860 3.1860
3.1860 0.0000 3.1860
3.1860 3.1860 0.0000
Ho Ta B
1 1 1
direct
0.0000 0.0000 0.0000
0.7500 0.7500 0.7500
0.2500 0.2500 0.2500


No. 12
PBE HoTaB4, optimized geometry; total magnetization = 0.003 μB per atom; electronic total energy = -47.7 eV for the cell shown
1.0
3.1392 0.0000 0.0000
-1.5696 2.7187 0.0000
0.0000 0.0000 7.2259
B Ta Ho
4 1 1
direct
0.3333 0.6667 0.7704
0.3333 0.6667 0.2296
0.6667 0.3333 0.7704
0.6667 0.3333 0.2296
0.0000 0.0000 0.0000
0.0000 0.0000 0.5000


No. 13
PBE HoTaB, optimized geometry; total magnetization = 0.000 μB per atom; excess energy over the best structure of this formula in the dataset = 0.000 eV/atom; electronic total energy = -22.2 eV for the cell shown
1.0
0.0000 2.9678 2.9678
2.9678 0.0000 2.9678
2.9678 2.9678 0.0000
B Ho Ta
1 1 1
direct
0.0000 0.0000 0.0000
0.2500 0.2500 0.2500
0.7500 0.7500 0.7500


No. 14
PBE TbHoB, optimized geometry; total magnetization = 0.002 μB per atom; excess energy over the best structure of this formula in the dataset = 0.000 eV/atom; electronic total energy = -15.7 eV for the cell shown
1.0
-0.6746 3.0154 3.3019
-3.0546 3.2917 -0.5333
-3.8444 -0.0755 2.3802
B Ho Tb
1 1 1
direct
0.0000 0.0000 0.0000
0.2500 0.2500 0.2500
0.7500 0.7500 0.7500


No. 15
PBE HoTcB, optimized geometry; total magnetization = 0.099 μB per atom; excess energy over the best structure of this formula in the dataset = 1.507 eV/atom; electronic total energy = -16.7 eV for the cell shown
1.0
0.0000 3.0414 3.0414
3.0414 0.0000 3.0414
3.0414 3.0414 0.0000
Tc Ho B
1 1 1
direct
0.5000 0.5000 0.5000
0.7500 0.7500 0.7500
0.0000 0.0000 0.0000


No. 16
PBE HoTcB, optimized geometry; total magnetization = 0.002 μB per atom; excess energy over the best structure of this formula in the dataset = 0.000 eV/atom; electronic total energy = -21.2 eV for the cell shown
1.0
2.0472 1.1820 3.3431
-2.0472 1.1820 3.3431
0.0000 -2.3639 3.3431
Tc Ho B
1 1 1
direct
0.2500 0.2500 0.2500
0.7500 0.7500 0.7500
0.0000 0.0000 0.0000


No. 17
PBE HoTc4B4, optimized geometry; total magnetization = 0.000 μB per atom; electronic total energy = -153.2 eV for the cell shown
1.0
-2.0004 -6.7590 2.0562
6.1793 -0.6379 3.9145
-1.9831 1.6196 3.3945
Ho Tc B
2 8 8
direct
0.5000 0.5000 0.5000
0.0000 0.0000 0.0000
0.6261 0.8666 0.8674
0.3666 0.8739 0.3674
0.3739 0.1334 0.8674
0.1261 0.3666 0.6326
0.1334 0.6261 0.1326
0.8666 0.3739 0.1326
0.6334 0.1261 0.3674
0.8739 0.6334 0.6326
0.3154 0.1757 0.3686
0.1846 0.3243 0.1314
0.6846 0.8243 0.3686
0.8154 0.6757 0.1314
0.8243 0.3154 0.6314
0.6757 0.1846 0.8686
0.3243 0.8154 0.8686
0.1757 0.6846 0.6314


No. 18
PBE HoBTe, optimized geometry; total magnetization = 0.000 μB per atom; excess energy over the best structure of this formula in the dataset = 0.413 eV/atom; electronic total energy = -12.3 eV for the cell shown
1.0
0.0000 3.3951 3.3951
3.3951 0.0000 3.3951
3.3951 3.3951 0.0000
Te B Ho
1 1 1
direct
0.0000 0.0000 0.0000
0.2500 0.2500 0.2500
0.7500 0.7500 0.7500


No. 19
PBE HoBTe, optimized geometry; total magnetization = 0.006 μB per atom; excess energy over the best structure of this formula in the dataset = 0.244 eV/atom; electronic total energy = -12.8 eV for the cell shown
1.0
0.0000 3.3781 3.3781
3.3781 0.0000 3.3781
3.3781 3.3781 0.0000
B Ho Te
1 1 1
direct
0.2500 0.2500 0.2500
0.0000 0.0000 0.0000
0.7500 0.7500 0.7500


No. 20
PBE HoBTe, optimized geometry; total magnetization = 0.002 μB per atom; excess energy over the best structure of this formula in the dataset = 0.000 eV/atom; electronic total energy = -13.5 eV for the cell shown
1.0
0.0000 3.1939 3.1939
3.1939 0.0000 3.1939
3.1939 3.1939 0.0000
Te B Ho
1 1 1
direct
0.7500 0.7500 0.7500
0.0000 0.0000 0.0000
0.2500 0.2500 0.2500